Sc8Pd2Pt | GGA-PBE | relaxed

a = 8.3563 Å, b = 8.3563 Å, c = 6.4478 Å
α = 108.55°, β = 108.55°, γ = 33.05°
Last column: nearest neighbours and their distance in Å.
Fractional coordinates of all 11 atoms:
Sc  0.0291  0.0291  0.2857  1 Pd 2.69, 2 Pt 2.86
Sc  0.1967  0.1967  0.7997  1 Pd 2.65
Sc  0.3325  0.3325  0.5359  1 Pd 2.66, 1 Pt 2.77
Sc  0.4041  0.4041  0.0515  1 Pt 2.79, 2 Pd 2.94
Sc  0.5959  0.5959  0.9485  1 Pt 2.79, 2 Pd 2.94
Sc  0.6675  0.6675  0.4641  1 Pd 2.66, 1 Pt 2.77
Sc  0.8033  0.8033  0.2003  1 Pd 2.65
Sc  0.9709  0.9709  0.7143  1 Pd 2.69, 2 Pt 2.86
Pd  0.1820  0.1820  0.1969  5 Sc 2.65-2.94
Pd  0.8180  0.8180  0.8031  5 Sc 2.65-2.94
Pt  0.5000  0.5000  0.5000  8 Sc 2.77-2.86

## Properties
As for the space group: No. 12. The total magnetization is 0.0 μB per cell. The calculation puts the total energy at -73.64 eV per formula unit.



CrNiSn3 | GGA-PBE | relaxed

a = 4.9686 Å, b = 4.9686 Å, c = 4.9686 Å
α = 90.00°, β = 90.00°, γ = 90.00°
Last column: nearest neighbours and their distance in Å.
Fractional coordinates of all 5 atoms:
Cr  0.0000  0.0000  0.0000  12 Sn 3.51
Ni  0.5000  0.5000  0.5000  6 Sn 2.48
Sn  0.0000  0.5000  0.5000  2 Ni 2.48
Sn  0.5000  0.0000  0.5000  2 Ni 2.48
Sn  0.5000  0.5000  0.0000  2 Ni 2.48

## Properties
As for the space group: No. 221. The total magnetization is 4.6 μB per cell. The calculation puts the total energy at -25.30 eV per formula unit. For the energy above the most stable polymorph in this dataset, the calculation gives 0.0 kJ/mol of formula units.



ThNb3Ge2 | GGA-PBE | relaxed

a = 7.6882 Å, b = 7.6882 Å, c = 8.5651 Å
α = 116.16°, β = 116.16°, γ = 33.51°
Last column: nearest neighbours and their distance in Å.
Fractional coordinates of all 12 atoms:
Th  0.1493  0.1493  0.0599  7 Ge 3.16-3.32, 1 Nb 3.48
Th  0.8507  0.8507  0.9401  7 Ge 3.16-3.32, 1 Nb 3.48
Nb  0.0484  0.0484  0.3679  3 Ge 2.73-2.78, 4 Nb 2.82-2.85
Nb  0.3140  0.3140  0.5275  2 Ge 2.65-2.89, 5 Nb 2.78-2.85
Nb  0.4220  0.4220  0.3329  3 Ge 2.58-2.70, 4 Nb 2.72-2.82
Nb  0.5780  0.5780  0.6671  3 Ge 2.58-2.70, 4 Nb 2.72-2.82
Nb  0.6860  0.6860  0.4725  2 Ge 2.65-2.89, 5 Nb 2.78-2.85
Nb  0.9516  0.9516  0.6321  3 Ge 2.73-2.78, 4 Nb 2.82-2.85
Ge  0.1924  0.1924  0.7125  6 Nb 2.70-2.99
Ge  0.4753  0.4753  0.8433  1 Ge 2.44, 2 Nb 2.58-2.65
Ge  0.5247  0.5247  0.1567  1 Ge 2.44, 2 Nb 2.58-2.65
Ge  0.8076  0.8076  0.2875  6 Nb 2.70-2.99

## Properties
As for the space group: No. 12. The total magnetization is 0.0 μB per cell. The calculation puts the total energy at -49.41 eV per formula unit.



Cr2CoP | GGA-PBE | relaxed

a = 4.0589 Å, b = 4.0589 Å, c = 2.7083 Å
α = 90.00°, β = 90.00°, γ = 90.00°
Last column: nearest neighbours and their distance in Å.
Fractional coordinates of all 4 atoms:
Cr  0.0000  0.5000  0.0000  4 Co 2.44, 4 P 2.44, 2 Cr 2.71
Cr  0.5000  0.0000  0.0000  4 Co 2.44, 4 P 2.44, 2 Cr 2.71
Co  0.0000  0.0000  0.5000  8 Cr 2.44, 2 Co 2.71
P  0.5000  0.5000  0.5000  8 Cr 2.44, 2 P 2.71

## Properties
As for the space group: No. 123. The total magnetization is 1.4 μB per cell. The calculation puts the total energy at -31.94 eV per formula unit.



no.,V (Å³/f.u.)
1,231.7
2,122.7
3,124.1
4,44.6